1.
A plane-wave DFT calculation with PBE was carried out for a geometry-optimized ReSe2BrO structure.

- ΔE_f (raw) (eV/f.u.) = 4.5
- E above lowest polymorph (eV/f.u.) = 0.000
- space-group type = P4/mmm (123)
- final energy (eV per atom) = -4.3129

Cell: 4.782 4.782 5.192 Å, 90.00 90.00 90.00°
Sites, in units of the cell vectors:
1 O 0.500 0.500 0.500
2 Re 0.000 0.000 0.000
3 Se 0.000 0.500 0.000
4 Se 0.500 0.000 0.000
5 Br 0.000 0.000 0.500


2.
A plane-wave DFT calculation with PBE was carried out for a geometry-optimized ReSeBr2O structure.

- ΔE_f (raw) (eV/f.u.) = 7.7
- E above lowest polymorph (eV/f.u.) = 2.982
- space-group type = P4/mmm (123)
- final energy (eV per atom) = -3.3152

Cell: 4.566 4.566 4.327 Å, 90.00 90.00 90.00°
Sites, in units of the cell vectors:
1 O 0.000 0.000 0.000
2 Re 0.500 0.500 0.500
3 Se 0.000 0.000 0.500
4 Br 0.000 0.500 0.000
5 Br 0.500 0.000 0.000


3.
A plane-wave DFT calculation with PBE was carried out for a geometry-optimized SmReBrO4 structure.

- ΔE_f (raw) (eV/f.u.) = -14.4
- space-group type = C2/m (12)
- final energy (eV per atom) = -7.5887

Cell: 6.509 6.509 7.090 Å, 77.55 77.55 67.39°
Sites, in units of the cell vectors:
1 Sm 0.226 0.226 0.893
2 Sm 0.774 0.774 0.107
3 Re 0.631 0.631 0.721
4 Re 0.369 0.369 0.279
5 Br 0.009 0.009 0.246
6 Br 0.991 0.991 0.754
7 O 0.294 0.294 0.531
8 O 0.706 0.706 0.469
9 O 0.125 0.479 0.143
10 O 0.537 0.537 0.212
11 O 0.521 0.875 0.857
12 O 0.479 0.125 0.143
13 O 0.463 0.463 0.788
14 O 0.875 0.521 0.857


4.
A plane-wave DFT calculation with PBE was carried out for a geometry-optimized ReSn2BrO structure.

- ΔE_f (raw) (eV/f.u.) = 6.1
- space-group type = P4/mmm (123)
- final energy (eV per atom) = -4.1887

Cell: 5.548 3.634 5.548 Å, 90.00 90.00 90.00°
Sites, in units of the cell vectors:
1 O 0.000 0.500 0.000
2 Re 0.500 0.500 0.500
3 Sn 0.000 0.000 0.500
4 Sn 0.500 0.000 0.000
5 Br 0.000 0.000 0.000


5.
A plane-wave DFT calculation with PBE was carried out for a geometry-optimized Tl2ReBr5O structure.

- ΔE_f (raw) (eV/f.u.) = -6.3
- space-group type = I4mm (107)
- final energy (eV per atom) = -4.0884

Cell: 7.226 7.226 7.226 Å, 99.08 114.90 114.90°
Sites, in units of the cell vectors:
1 Tl 0.500 0.253 0.753
2 Tl 0.500 0.753 0.253
3 Re 0.000 0.973 0.973
4 Br 0.464 0.226 0.226
5 Br 0.536 0.762 0.762
6 Br 0.000 0.762 0.226
7 Br 0.000 0.226 0.762
8 Br 0.000 0.252 0.252
9 O 0.000 0.792 0.792


6.
A plane-wave DFT calculation with PBE was carried out for a geometry-optimized Tl2ReBr4O2 structure.

- ΔE_f (raw) (eV/f.u.) = -7.3
- space-group type = C2/m (12)
- final energy (eV per atom) = -4.5659

Cell: 7.360 7.212 7.212 Å, 63.13 57.76 57.76°
Sites, in units of the cell vectors:
1 Tl 0.189 0.739 0.739
2 Tl 0.811 0.261 0.261
3 Re 0.500 0.000 0.000
4 Br 0.298 0.721 0.203
5 Br 0.702 0.797 0.279
6 Br 0.702 0.279 0.797
7 Br 0.298 0.203 0.721
8 O 0.254 0.182 0.182
9 O 0.746 0.818 0.818


7.
A plane-wave DFT calculation with PBE was carried out for a geometry-optimized TmReBrO4 structure.

- ΔE_f (raw) (eV/f.u.) = -14.5
- space-group type = C2/m (12)
- final energy (eV per atom) = -7.5577

Cell: 6.343 6.343 6.933 Å, 77.00 77.00 66.59°
Sites, in units of the cell vectors:
1 Tm 0.227 0.227 0.900
2 Tm 0.773 0.773 0.100
3 Re 0.631 0.631 0.719
4 Re 0.369 0.369 0.281
5 Br 0.006 0.006 0.245
6 Br 0.994 0.994 0.755
7 O 0.295 0.295 0.540
8 O 0.705 0.705 0.460
9 O 0.116 0.479 0.144
10 O 0.541 0.541 0.206
11 O 0.521 0.884 0.856
12 O 0.479 0.116 0.144
13 O 0.459 0.459 0.794
14 O 0.884 0.521 0.856


8.
A plane-wave DFT calculation with PBE was carried out for a geometry-optimized YReBrO4 structure.

- ΔE_f (raw) (eV/f.u.) = -14.4
- space-group type = C2/m (12)
- final energy (eV per atom) = -7.8326

Cell: 6.419 6.419 7.009 Å, 77.21 77.21 66.92°
Sites, in units of the cell vectors:
1 Y 0.226 0.226 0.897
2 Y 0.774 0.774 0.103
3 Re 0.631 0.631 0.719
4 Re 0.369 0.369 0.281
5 Br 0.007 0.007 0.245
6 Br 0.993 0.993 0.755
7 O 0.295 0.295 0.536
8 O 0.705 0.705 0.464
9 O 0.120 0.478 0.144
10 O 0.539 0.539 0.208
11 O 0.522 0.880 0.856
12 O 0.478 0.120 0.144
13 O 0.461 0.461 0.792
14 O 0.880 0.522 0.856


Question: Which value of ΔE_f (raw) does entry 6 give?
Answer: -7.3 eV/f.u.


Question: The highest final energy belongs to which entry?
Answer: ReSeBr2O


Question: final energy of number 8 (YReBrO4)?
Answer: -7.8326 eV per atom